A plane-wave DFT calculation with PBE was carried out for an optimized crystal structure of BaRhW2.

Cell: 3.954 3.954 10.619 Å, 90.00 90.00 90.00°
Space group I4/mmm (No. 139)
Symmetry-distinct sites (fractional):
Ba1 0.000 0.000 0.000 (multiplicity 2)
Rh1 0.000 0.000 0.500 (multiplicity 2)
W1 0.000 0.500 0.250 (multiplicity 4)

Results
- relative energy among the computed polymorphs (meV/atom) = 752
- crystal system = tetragonal
- calculated formation energy (meV per atom) = 1338
- total magnetic moment (μB/atom) = 0.0000

=====

A plane-wave DFT calculation with PBE was carried out for an optimized crystal structure of Ho3Ni2Sn3.

Cell: 4.432 10.729 14.868 Å, 90.00 90.00 90.00°
Space group Cmcm (No. 63)
Symmetry-distinct sites (fractional):
Ho1 0.000 0.077 0.111 (multiplicity 8)
Ho2 0.000 0.356 0.250 (multiplicity 4)
Ni1 0.000 0.204 0.607 (multiplicity 8)
Sn1 0.000 0.348 0.750 (multiplicity 4)
Sn2 0.000 0.367 0.037 (multiplicity 8)

Results
- crystal system = orthorhombic
- calculated formation energy (meV per atom) = -679
- total magnetic moment (μB/atom) = 0.0000

=====

| no. | calculated volume (Å³ per atom) |
| --- | --- |
| 1 | 20.75 |
| 2 | 22.10 |